<1>
Computed, not measured: an optimized crystal structure of Li2Ca2Si at the PBE level of DFT.

Total magnetic moment (μB/cell): 0.00

a b c (Å): 6.9418 6.9418 4.7831
angles (deg): 90.00 90.00 90.00
Atoms (fractional coordinates):
1 Li 0.1332 0.3668 0.0000
2 Li 0.3668 0.8668 0.0000
3 Li 0.6332 0.1332 0.0000
4 Li 0.8668 0.6332 0.0000
5 Ca 0.2012 0.7012 0.5000
6 Ca 0.2988 0.2012 0.5000
7 Ca 0.7012 0.7988 0.5000
8 Ca 0.7988 0.2988 0.5000
9 Si 0.0000 0.0000 0.0000
10 Si 0.5000 0.5000 0.0000

<2>
Computed, not measured: an optimized crystal structure of Li2Ca2Si at the PBE level of DFT.

Total magnetic moment (μB/cell): 0.00

a b c (Å): 9.9844 9.9844 9.9844
angles (deg): 158.90 158.90 30.01
Atoms (fractional coordinates):
1 Li 0.2500 0.7500 0.5000
2 Li 0.7500 0.2500 0.5000
3 Ca 0.0900 0.0900 0.0000
4 Ca 0.9100 0.9100 0.0000
5 Si 0.5000 0.5000 0.0000

Which of them is most stable? Easy: <1>.